1.
Below is crystalline BeFeBAu at its relaxed geometry, with properties calculated at the GGA-PBE level.

a b c (Å): 5.4603 5.4603 5.4603
angles (deg): 90.00 90.00 90.00
Last column: nearest neighbours and their distance in Å.
Element x y z (fractional)
Be 0.0000 0.0000 0.0000  4 Fe 2.36, 4 Au 2.36
Be 0.0000 0.5000 0.5000  4 Fe 2.36, 4 Au 2.36
Be 0.5000 0.0000 0.5000  4 Fe 2.36, 4 Au 2.36
Be 0.5000 0.5000 0.0000  4 Fe 2.36, 4 Au 2.36
Fe 0.2500 0.2500 0.7500  4 Be 2.36, 4 B 2.36
Fe 0.2500 0.7500 0.2500  4 Be 2.36, 4 B 2.36
Fe 0.7500 0.2500 0.2500  4 Be 2.36, 4 B 2.36
Fe 0.7500 0.7500 0.7500  4 Be 2.36, 4 B 2.36
B 0.0000 0.0000 0.5000  4 Au 2.36, 4 Fe 2.36
B 0.0000 0.5000 0.0000  4 Au 2.36, 4 Fe 2.36
B 0.5000 0.0000 0.0000  4 Au 2.36, 4 Fe 2.36
B 0.5000 0.5000 0.5000  4 Fe 2.36, 4 Au 2.36
Au 0.2500 0.2500 0.2500  4 Be 2.36, 4 B 2.36
Au 0.2500 0.7500 0.7500  4 Be 2.36, 4 B 2.36
Au 0.7500 0.2500 0.7500  4 Be 2.36, 4 B 2.36
Au 0.7500 0.7500 0.2500  4 Be 2.36, 4 B 2.36

Results
- relative energy among the computed polymorphs (meV/atom) = 0
- SG = F-43m

---

2.
Below is crystalline BeFeBAu at its relaxed geometry, with properties calculated at the GGA-PBE level.

a b c (Å): 5.6819 5.6819 5.6819
angles (deg): 90.00 90.00 90.00
Last column: nearest neighbours and their distance in Å.
Element x y z (fractional)
Be 0.0000 0.0000 0.0000  4 B 2.46, 4 Au 2.46
Be 0.0000 0.5000 0.5000  4 B 2.46, 4 Au 2.46
Be 0.5000 0.0000 0.5000  4 B 2.46, 4 Au 2.46
Be 0.5000 0.5000 0.0000  4 B 2.46, 4 Au 2.46
Fe 0.0000 0.0000 0.5000  4 Au 2.46, 4 B 2.46
Fe 0.0000 0.5000 0.0000  4 B 2.46, 4 Au 2.46
Fe 0.5000 0.0000 0.0000  4 B 2.46, 4 Au 2.46
Fe 0.5000 0.5000 0.5000  4 Au 2.46, 4 B 2.46
B 0.2500 0.2500 0.2500  4 Fe 2.46, 4 Be 2.46
B 0.2500 0.7500 0.7500  4 Fe 2.46, 4 Be 2.46
B 0.7500 0.2500 0.7500  4 Fe 2.46, 4 Be 2.46
B 0.7500 0.7500 0.2500  4 Fe 2.46, 4 Be 2.46
Au 0.2500 0.2500 0.7500  4 Fe 2.46, 4 Be 2.46
Au 0.2500 0.7500 0.2500  4 Fe 2.46, 4 Be 2.46
Au 0.7500 0.2500 0.2500  4 Fe 2.46, 4 Be 2.46
Au 0.7500 0.7500 0.7500  4 Fe 2.46, 4 Be 2.46

Results
- relative energy among the computed polymorphs (meV/atom) = 330
- SG = F-43m

---

3.
Below is crystalline BeHgBAu at its relaxed geometry, with properties calculated at the GGA-PBE level.

a b c (Å): 6.2670 6.2670 6.2670
angles (deg): 90.00 90.00 90.00
Last column: nearest neighbours and their distance in Å.
Element x y z (fractional)
Be 0.0000 0.0000 0.0000  4 B 2.71, 4 Au 2.71
Be 0.0000 0.5000 0.5000  4 Au 2.71, 4 B 2.71
Be 0.5000 0.0000 0.5000  4 Au 2.71, 4 B 2.71
Be 0.5000 0.5000 0.0000  4 B 2.71, 4 Au 2.71
Hg 0.0000 0.0000 0.5000  4 B 2.71, 4 Au 2.71
Hg 0.0000 0.5000 0.0000  4 B 2.71, 4 Au 2.71
Hg 0.5000 0.0000 0.0000  4 B 2.71, 4 Au 2.71
Hg 0.5000 0.5000 0.5000  4 B 2.71, 4 Au 2.71
B 0.2500 0.2500 0.2500  4 Hg 2.71, 4 Be 2.71
B 0.2500 0.7500 0.7500  4 Hg 2.71, 4 Be 2.71
B 0.7500 0.2500 0.7500  4 Hg 2.71, 4 Be 2.71
B 0.7500 0.7500 0.2500  4 Hg 2.71, 4 Be 2.71
Au 0.2500 0.2500 0.7500  4 Hg 2.71, 4 Be 2.71
Au 0.2500 0.7500 0.2500  4 Hg 2.71, 4 Be 2.71
Au 0.7500 0.2500 0.2500  4 Hg 2.71, 4 Be 2.71
Au 0.7500 0.7500 0.7500  4 Be 2.71, 4 Hg 2.71

Results
- relative energy among the computed polymorphs (meV/atom) = 182
- SG = F-43m

---

4.
Below is crystalline BeHgBAu at its relaxed geometry, with properties calculated at the GGA-PBE level.

a b c (Å): 6.0656 6.0656 6.0656
angles (deg): 90.00 90.00 90.00
Last column: nearest neighbours and their distance in Å.
Element x y z (fractional)
Be 0.0000 0.0000 0.0000  4 Hg 2.63, 4 Au 2.63
Be 0.0000 0.5000 0.5000  4 Hg 2.63, 4 Au 2.63
Be 0.5000 0.0000 0.5000  4 Hg 2.63, 4 Au 2.63
Be 0.5000 0.5000 0.0000  4 Hg 2.63, 4 Au 2.63
Hg 0.2500 0.2500 0.2500  4 Be 2.63, 4 B 2.63
Hg 0.2500 0.7500 0.7500  4 Be 2.63, 4 B 2.63
Hg 0.7500 0.2500 0.7500  4 Be 2.63, 4 B 2.63
Hg 0.7500 0.7500 0.2500  4 Be 2.63, 4 B 2.63
B 0.0000 0.0000 0.5000  4 Au 2.63, 4 Hg 2.63
B 0.0000 0.5000 0.0000  4 Au 2.63, 4 Hg 2.63
B 0.5000 0.0000 0.0000  4 Au 2.63, 4 Hg 2.63
B 0.5000 0.5000 0.5000  4 Au 2.63, 4 Hg 2.63
Au 0.2500 0.2500 0.7500  4 Be 2.63, 4 B 2.63
Au 0.2500 0.7500 0.2500  4 Be 2.63, 4 B 2.63
Au 0.7500 0.2500 0.2500  4 Be 2.63, 4 B 2.63
Au 0.7500 0.7500 0.7500  4 B 2.63, 4 Be 2.63

Results
- relative energy among the computed polymorphs (meV/atom) = 0
- SG = F-43m